## NpAs2Rh5 (PBE-GGA)

Data for crystalline NpAs2Rh5 at its relaxed geometry.

Cell and atoms, written as extended XYZ:
```
16
Lattice="3.905 0.000 0.000 0.000 7.029 0.000 0.000 0.000 9.636" Properties=species:S:1:pos:R:3 pbc="T T T"
Np 0.000 0.000 0.000
Np 1.953 3.514 4.818
As 0.000 3.514 2.397
As 0.000 3.514 7.239
As 1.953 0.000 2.421
As 1.953 0.000 7.215
Rh 0.000 1.400 3.450
Rh 0.000 1.400 6.186
Rh 0.000 3.514 0.000
Rh 0.000 5.629 3.450
Rh 0.000 5.629 6.186
Rh 1.953 0.000 4.818
Rh 1.953 2.114 1.368
Rh 1.953 2.114 8.268
Rh 1.953 4.915 1.368
Rh 1.953 4.915 8.268
```

Computed properties:
- uncorrected energy (eV/atom) = -7.82
- SG = Immm (71)
- volume (Å³ per cell) = 265
- DFT formation energy (eV/atom) = -0.44


## OsBr2F (PBE-GGA)

Data for crystalline OsBr2F at its relaxed geometry.

Cell and atoms, written as extended XYZ:
```
12
Lattice="3.768 0.000 0.000 -1.884 3.263 0.000 0.000 0.000 22.027" Properties=species:S:1:pos:R:3 pbc="T T T"
Os 0.000 0.000 0.000
Os 0.000 2.175 14.685
Os 1.884 1.088 7.342
Br 0.000 0.000 8.645
Br 0.000 0.000 13.382
Br 0.000 2.175 1.303
Br 0.000 2.175 6.040
Br 1.884 1.088 15.988
Br 1.884 1.088 20.724
F 0.000 0.000 11.014
F 0.000 2.175 3.671
F 1.884 1.088 18.356
```

Computed properties:
- uncorrected energy (eV/atom) = -3.99
- uncorrected formation energy (kcal/mol of atoms) = 2.9
- relative energy among the computed polymorphs (meV/atom) = 518.9
- SG = R-3m (166)
- volume (Å³ per cell) = 271


## HoTa3N6 (PBE-GGA)

Data for crystalline HoTa3N6 at its relaxed geometry.

Cell and atoms, written as extended XYZ:
```
20
Lattice="8.662 0.000 0.000 0.000 3.136 0.000 -2.731 0.000 8.500" Properties=species:S:1:pos:R:3 pbc="T T T"
Ho 0.017 0.784 1.670
Ho 5.913 2.352 6.830
Ta -0.204 0.784 4.997
Ta 0.035 2.352 8.406
Ta 3.119 0.784 2.767
Ta 2.811 2.352 5.733
Ta 5.896 0.784 0.094
Ta 6.135 2.352 3.503
N -0.433 2.352 3.513
N -1.395 0.784 8.170
N -0.164 2.352 6.281
N 1.888 2.352 2.023
N 1.886 0.784 4.688
N 3.859 0.784 0.894
N 2.072 2.352 7.606
N 4.045 2.352 3.812
N 4.042 0.784 6.477
N 6.094 0.784 2.219
N 7.325 2.352 0.330
N 6.363 0.784 4.988
```

Computed properties:
- uncorrected energy (eV/atom) = -10.16
- uncorrected formation energy (kcal/mol of atoms) = -26.6
- SG = P2_1/m (11)
- volume (Å³ per cell) = 231


## ZrTe2MoS (PBE-GGA)

Data for crystalline ZrTe2MoS at its relaxed geometry.

Cell and atoms, written as extended XYZ:
```
5
Lattice="5.463 0.000 0.000 0.000 5.463 0.000 0.000 0.000 4.387" Properties=species:S:1:pos:R:3 pbc="T T T"
Zr 0.000 0.000 0.000
Te 0.000 2.731 2.194
Te 2.731 0.000 2.194
Mo 2.731 2.731 2.194
S 2.731 2.731 0.000
```

Computed properties:
- uncorrected energy (eV/atom) = -5.69
- uncorrected formation energy (kcal/mol of atoms) = 6.2
- SG = P4/mmm (123)
- volume (Å³ per cell) = 131


## PrEu2Dy (PBE-GGA)

Data for crystalline PrEu2Dy at its relaxed geometry.

Cell and atoms, written as extended XYZ:
```
12
Lattice="3.710 0.000 0.000 -1.855 3.213 0.000 0.000 0.000 36.909" Properties=species:S:1:pos:R:3 pbc="T T T"
Pr 0.000 0.000 0.000
Pr 0.000 2.142 24.606
Pr 1.855 1.071 12.303
Eu 0.000 0.000 9.167
Eu 0.000 0.000 27.742
Eu 0.000 2.142 15.439
Eu 0.000 2.142 33.773
Eu 1.855 1.071 3.136
Eu 1.855 1.071 21.470
Dy 0.000 0.000 18.455
Dy 0.000 2.142 6.152
Dy 1.855 1.071 30.758
```

Computed properties:
- uncorrected energy (eV/atom) = -7.40
- relative energy among the computed polymorphs (meV/atom) = 0.0
- SG = R-3m (166)
- volume (Å³ per cell) = 440
- DFT formation energy (eV/atom) = 0.09


## Ca2SnHg9 (PBE-GGA)

Data for crystalline Ca2SnHg9 at its relaxed geometry.

Cell and atoms, written as extended XYZ:
```
12
Lattice="4.669 0.000 0.000 0.000 4.669 0.000 0.000 0.000 14.195" Properties=species:S:1:pos:R:3 pbc="T T T"
Ca 0.000 0.000 2.429
Ca 0.000 0.000 11.766
Sn 0.000 0.000 7.097
Hg 0.000 2.334 0.000
Hg 0.000 2.334 4.724
Hg 0.000 2.334 9.471
Hg 2.334 0.000 0.000
Hg 2.334 0.000 4.724
Hg 2.334 0.000 9.471
Hg 2.334 2.334 2.381
Hg 2.334 2.334 7.097
Hg 2.334 2.334 11.813
```

Computed properties:
- uncorrected energy (eV/atom) = -1.14
- SG = P4/mmm (123)
- volume (Å³ per cell) = 309
- DFT formation energy (eV/atom) = -0.24


## HgSb2As (PBE-GGA)

Data for crystalline HgSb2As at its relaxed geometry.

Cell and atoms, written as extended XYZ:
```
8
Lattice="7.081 0.000 0.000 0.000 4.114 0.000 -2.410 0.000 7.240" Properties=species:S:1:pos:R:3 pbc="T T T"
Hg 0.000 0.000 0.000
Hg 3.540 2.057 0.000
Sb -0.032 0.000 5.313
Sb 1.162 2.057 1.927
Sb 3.508 2.057 5.313
Sb 4.703 0.000 1.927
As -1.205 2.057 3.620
As 2.335 0.000 3.620
```

Computed properties:
- uncorrected energy (eV/atom) = -3.18
- uncorrected formation energy (kcal/mol of atoms) = 2.7
- relative energy among the computed polymorphs (meV/atom) = 84.2
- SG = C2/m (12)
- volume (Å³ per cell) = 211


## Te2CF (PBE-GGA)

Data for crystalline Te2CF at its relaxed geometry.

Cell and atoms, written as extended XYZ:
```
16
Lattice="6.581 0.000 0.000 0.000 6.581 0.000 0.000 0.000 6.882" Properties=species:S:1:pos:R:3 pbc="T T T"
Te 1.280 1.645 0.860
Te 1.645 4.571 2.581
Te 1.645 5.301 6.022
Te 2.011 1.645 4.301
Te 4.571 4.936 4.301
Te 4.936 1.280 6.022
Te 4.936 2.011 2.581
Te 5.301 4.936 0.860
C 0.000 0.000 0.000
C 0.000 3.291 1.720
C 3.291 0.000 5.161
C 3.291 3.291 3.441
F 0.000 0.000 3.441
F 0.000 3.291 5.161
F 3.291 0.000 1.720
F 3.291 3.291 0.000
```

Computed properties:
- uncorrected energy (eV/atom) = -3.99
- uncorrected formation energy (kcal/mol of atoms) = 8.2
- relative energy among the computed polymorphs (meV/atom) = 0.0
- SG = I-42d (122)
- volume (Å³ per cell) = 298


## NbReAsBr2 (PBE-GGA)

Data for crystalline NbReAsBr2 at its relaxed geometry.

Cell and atoms, written as extended XYZ:
```
5
Lattice="5.148 0.000 0.000 0.000 5.148 0.000 0.000 0.000 4.748" Properties=species:S:1:pos:R:3 pbc="T T T"
Nb 0.000 0.000 0.000
Re 2.574 2.574 2.374
As 2.574 2.574 0.000
Br 0.000 2.574 2.374
Br 2.574 0.000 2.374
```

Computed properties:
- uncorrected energy (eV/atom) = -4.90
- uncorrected formation energy (kcal/mol of atoms) = 27.6
- relative energy among the computed polymorphs (meV/atom) = 49.2
- SG = P4/mmm (123)
- volume (Å³ per cell) = 126


## NaHoSn (PBE-GGA)

Data for crystalline NaHoSn at its relaxed geometry.

Cell and atoms, written as extended XYZ:
```
6
Lattice="3.422 0.000 0.000 0.000 3.422 0.000 0.000 0.000 14.858" Properties=species:S:1:pos:R:3 pbc="T T T"
Na 0.000 0.000 0.000
Na 1.711 1.711 7.429
Ho 0.000 0.000 10.427
Ho 1.711 1.711 2.998
Sn 0.000 0.000 5.119
Sn 1.711 1.711 12.549
```

Computed properties:
- uncorrected energy (eV/atom) = -3.47
- SG = I4mm (107)
- volume (Å³ per cell) = 174
- DFT formation energy (eV/atom) = -0.17


## La8Cu2Ni (PBE-GGA)

Data for crystalline La8Cu2Ni at its relaxed geometry.

Cell and atoms, written as extended XYZ:
```
11
Lattice="4.630 -6.238 0.000 4.630 6.238 0.000 -2.467 0.000 5.934" Properties=species:S:1:pos:R:3 pbc="T T T"
La 0.000 0.000 0.000
La 2.963 1.974 1.133
La 4.585 4.471 3.226
La 3.444 1.691 5.045
La 2.963 -1.974 1.133
La 3.444 -1.691 5.045
La 5.834 0.000 2.479
La 4.585 -4.471 3.226
Cu 1.705 3.838 4.242
Cu 1.705 -3.838 4.242
Ni 2.213 0.000 2.839
```

Computed properties:
- uncorrected energy (eV/atom) = -4.87
- relative energy among the computed polymorphs (meV/atom) = 67.4
- SG = Cm (8)
- volume (Å³ per cell) = 343
- DFT formation energy (eV/atom) = -0.02


## Sc2TcGe4 (PBE-GGA)

Data for crystalline Sc2TcGe4 at its relaxed geometry.

Cell and atoms, written as extended XYZ:
```
14
Lattice="4.779 0.000 0.000 0.000 4.779 0.000 0.000 0.000 13.368" Properties=species:S:1:pos:R:3 pbc="T T T"
Sc 0.000 0.000 1.530
Sc 0.000 0.000 11.838
Sc 2.390 2.390 5.154
Sc 2.390 2.390 8.214
Tc 0.000 0.000 6.684
Tc 2.390 2.390 0.000
Ge 0.000 0.000 4.152
Ge 0.000 0.000 9.216
Ge 0.000 2.390 0.000
Ge 0.000 2.390 6.684
Ge 2.390 0.000 0.000
Ge 2.390 0.000 6.684
Ge 2.390 2.390 2.532
Ge 2.390 2.390 10.836
```

Computed properties:
- uncorrected energy (eV/atom) = -5.95
- SG = I4/mmm (139)
- volume (Å³ per cell) = 305
- DFT formation energy (eV/atom) = -0.02


## Cs2KZrCl6 (PBE-GGA)

Data for crystalline Cs2KZrCl6 at its relaxed geometry.

Cell and atoms, written as extended XYZ:
```
20
Lattice="3.840 2.217 14.460 -3.840 2.217 14.460 0.000 -4.434 14.460" Properties=species:S:1:pos:R:3 pbc="T T T"
Cs 0.000 0.000 5.932
Cs 0.000 0.000 13.167
Cs 0.000 0.000 30.214
Cs 0.000 0.000 37.449
K 0.000 0.000 17.946
K 0.000 0.000 25.435
Zr 0.000 0.000 0.000
Zr 0.000 0.000 21.691
Cl -1.836 -1.060 20.230
Cl 0.000 -2.338 15.951
Cl -2.025 1.169 15.951
Cl -2.025 -1.169 27.430
Cl 0.000 -2.120 23.152
Cl -1.836 1.060 23.152
Cl 1.836 -1.060 20.229
Cl 0.000 2.120 20.229
Cl 2.025 1.169 15.951
Cl 2.025 -1.169 27.430
Cl 0.000 2.338 27.430
Cl 1.836 1.060 23.152
```

Computed properties:
- uncorrected energy (eV/atom) = -4.12
- uncorrected formation energy (kcal/mol of atoms) = -43.4
- SG = R-3m (166)
- volume (Å³ per cell) = 739


## Pm3Ga2Ge (PBE-GGA)

Data for crystalline Pm3Ga2Ge at its relaxed geometry.

Cell and atoms, written as extended XYZ:
```
24
Lattice="12.227 0.000 0.000 0.000 4.169 0.000 0.000 0.000 12.270" Properties=species:S:1:pos:R:3 pbc="T T T"
Pm 0.742 1.042 1.499
Pm 1.443 3.127 6.804
Pm 2.550 1.042 9.722
Pm 3.564 3.127 3.587
Pm 4.671 1.042 0.669
Pm 5.371 3.127 7.634
Pm 6.856 1.042 4.636
Pm 7.556 3.127 11.601
Pm 8.663 1.042 8.683
Pm 9.678 3.127 2.548
Pm 10.785 1.042 5.466
Pm 11.485 3.127 10.771
Ga 0.202 3.127 3.782
Ga 2.302 3.127 12.189
Ga 3.812 1.042 6.054
Ga 5.911 1.042 9.917
Ga 6.316 3.127 2.353
Ga 8.415 3.127 6.216
Ga 9.926 1.042 0.081
Ga 12.025 1.042 8.488
Ge 1.606 1.042 4.537
Ge 4.507 3.127 10.672
Ge 7.720 1.042 1.598
Ge 10.621 3.127 7.733
```

Computed properties:
- uncorrected energy (eV/atom) = -4.77
- relative energy among the computed polymorphs (meV/atom) = 0.0
- SG = Pnma (62)
- volume (Å³ per cell) = 625
- DFT formation energy (eV/atom) = -0.62


## Cu2BiPd5 (PBE-GGA)

Data for crystalline Cu2BiPd5 at its relaxed geometry.

Cell and atoms, written as extended XYZ:
```
16
Lattice="2.994 0.000 0.000 0.000 8.146 0.000 0.000 0.000 10.678" Properties=species:S:1:pos:R:3 pbc="T T T"
Cu 0.000 0.000 2.590
Cu 0.000 0.000 8.088
Cu 1.497 4.073 2.749
Cu 1.497 4.073 7.929
Bi 0.000 4.073 0.000
Bi 1.497 0.000 5.339
Pd 0.000 0.000 0.000
Pd 0.000 2.217 3.895
Pd 0.000 2.217 6.783
Pd 0.000 5.929 3.895
Pd 0.000 5.929 6.783
Pd 1.497 1.856 1.444
Pd 1.497 1.856 9.234
Pd 1.497 4.073 5.339
Pd 1.497 6.291 1.444
Pd 1.497 6.291 9.234
```

Computed properties:
- uncorrected energy (eV/atom) = -4.79
- SG = Immm (71)
- volume (Å³ per cell) = 260
- DFT formation energy (eV/atom) = -0.04


## InSiOs2 (PBE-GGA)

Data for crystalline InSiOs2 at its relaxed geometry.

Cell and atoms, written as extended XYZ:
```
16
Lattice="4.182 0.000 0.000 0.000 4.182 0.000 0.000 0.000 17.144" Properties=species:S:1:pos:R:3 pbc="T T T"
In 0.000 0.000 0.000
In 0.000 2.091 4.286
In 2.091 0.000 12.858
In 2.091 2.091 8.572
Si 0.000 0.000 8.572
Si 0.000 2.091 12.858
Si 2.091 0.000 4.286
Si 2.091 2.091 0.000
Os 0.651 1.046 10.715
Os 1.046 2.742 15.001
Os 1.046 3.531 6.429
Os 1.440 1.046 2.143
Os 2.742 3.137 2.143
Os 3.137 0.651 6.429
Os 3.137 1.440 15.001
Os 3.531 3.137 10.715
```

Computed properties:
- uncorrected energy (eV/atom) = -6.98
- uncorrected formation energy (kcal/mol of atoms) = 15.5
- relative energy among the computed polymorphs (meV/atom) = 585.2
- SG = I-42d (122)
- volume (Å³ per cell) = 300


## Zr2Ni2Sn (PBE-GGA)

Data for crystalline Zr2Ni2Sn at its relaxed geometry.

Cell and atoms, written as extended XYZ:
```
10
Lattice="7.128 0.000 0.000 0.000 7.128 0.000 0.000 0.000 3.439" Properties=species:S:1:pos:R:3 pbc="T T T"
Zr 1.201 2.364 0.000
Zr 2.364 5.928 0.000
Zr 4.765 1.201 0.000
Zr 5.928 4.765 0.000
Ni 0.890 4.454 1.720
Ni 2.675 0.890 1.720
Ni 4.454 6.239 1.720
Ni 6.239 2.675 1.720
Sn 0.000 0.000 1.720
Sn 3.564 3.564 1.720
```

Computed properties:
- uncorrected energy (eV/atom) = -7.10
- SG = P4/mbm (127)
- volume (Å³ per cell) = 175
- DFT formation energy (eV/atom) = -0.57


## Dy2YCu6 (PBE-GGA)

Data for crystalline Dy2YCu6 at its relaxed geometry.

Cell and atoms, written as extended XYZ:
```
9
Lattice="7.322 0.000 0.000 -3.661 6.341 0.000 0.000 0.000 3.573" Properties=species:S:1:pos:R:3 pbc="T T T"
Dy 0.000 4.228 0.000
Dy 3.661 2.114 0.000
Y 0.000 0.000 0.000
Cu -1.222 2.117 1.787
Cu -2.439 4.225 1.787
Cu 2.444 0.000 1.787
Cu 1.222 2.117 1.787
Cu 4.878 0.000 1.787
Cu 2.439 4.225 1.787
```

Computed properties:
- uncorrected energy (eV/atom) = -4.73
- SG = P6/mmm (191)
- volume (Å³ per cell) = 166
- DFT formation energy (eV/atom) = -0.26


## Ba2CaBiP (PBE-GGA)

Data for crystalline Ba2CaBiP at its relaxed geometry.

Cell and atoms, written as extended XYZ:
```
5
Lattice="6.161 0.000 0.000 0.000 6.161 0.000 0.000 0.000 5.454" Properties=species:S:1:pos:R:3 pbc="T T T"
Ba 0.000 3.081 0.000
Ba 3.081 0.000 0.000
Ca 0.000 0.000 2.727
Bi 3.081 3.081 2.727
P 0.000 0.000 0.000
```

Computed properties:
- uncorrected energy (eV/atom) = -3.90
- SG = P4/mmm (123)
- volume (Å³ per cell) = 207
- DFT formation energy (eV/atom) = -0.87


## InGaI2 (PBE-GGA)

Data for crystalline InGaI2 at its relaxed geometry.

Cell and atoms, written as extended XYZ:
```
16
Lattice="7.770 0.000 0.000 0.000 7.770 0.000 0.000 0.000 14.828" Properties=species:S:1:pos:R:3 pbc="T T T"
In 0.000 0.000 0.000
In 0.000 3.885 3.707
In 3.885 0.000 11.121
In 3.885 3.885 7.414
Ga 0.000 0.000 7.414
Ga 0.000 3.885 11.121
Ga 3.885 0.000 3.707
Ga 3.885 3.885 0.000
I 1.772 1.943 9.267
I 1.943 5.657 12.974
I 1.943 5.999 5.560
I 2.113 1.943 1.853
I 5.657 5.828 1.853
I 5.828 1.772 5.560
I 5.828 2.113 12.974
I 5.999 5.828 9.267
```

Computed properties:
- uncorrected energy (eV/atom) = -2.52
- uncorrected formation energy (kcal/mol of atoms) = -6.9
- relative energy among the computed polymorphs (meV/atom) = 95.3
- SG = I-42d (122)
- volume (Å³ per cell) = 895


## Li2InIr (PBE-GGA)

Data for crystalline Li2InIr at its relaxed geometry.

Cell and atoms, written as extended XYZ:
```
4
Lattice="3.301 0.000 0.000 0.000 3.301 0.000 0.000 0.000 5.574" Properties=species:S:1:pos:R:3 pbc="T T T"
Li 0.000 0.000 1.165
Li 0.000 0.000 4.408
In 1.651 1.651 2.787
Ir 1.651 1.651 0.000
```

Computed properties:
- uncorrected energy (eV/atom) = -3.95
- SG = P4/mmm (123)
- volume (Å³ per cell) = 61
- DFT formation energy (eV/atom) = -0.09